First-principles (PBE) data for Mn2NbIrC after structural relaxation, as listed in Alexandria via LeMat-Bulk.

a = 3.830 Å, b = 3.830 Å, c = 4.249 Å
α = 90.00°, β = 90.00°, γ = 90.00°
Fractional positions:
Mn 0.000 0.500 0.000
Mn 0.500 0.000 0.000
Nb 0.000 0.000 0.500
Ir 0.500 0.500 0.500
C 0.000 0.000 0.000

D(E_F) (states/eV/atom): 1.031
M_tot (μB/cell): 2.05
Formation enthalpy at 0 K (eV/atom): -0.112
Volume (Å³/cell): 62.3
Electronic total energy (eV per cell): -47.05